1.
# Li2Ho2Sn7

Crystalline Li2Ho2Sn7 at its relaxed geometry (PBE, Alexandria via LeMat-Bulk). Values from VASP.

Results
* total moment: 0.00 μB/f.u.
* formation enthalpy at 0 K: -207 meV per atom
* DFT total energy: -3.93 eV/atom
* SG: C2/m, No. 12

Geometry as Quantum ESPRESSO input:
```
&SYSTEM
  ibrav = 0, nat = 11, ntyp = 3
/
ATOMIC_SPECIES
Sn 118.71 Sn.upf
Ho 164.93 Ho.upf
Li 6.94 Li.upf
CELL_PARAMETERS angstrom
-0.167 2.737 -5.754
2.794 -6.796 -2.758
-5.392 -3.177 1.206
ATOMIC_POSITIONS angstrom
Sn -0.873 -4.973 -4.145
Sn -4.582 -4.098 -2.185
Sn 0.000 0.000 0.000
Sn -0.614 -3.331 -7.110
Sn -1.892 -2.263 -3.161
Sn 1.817 -3.138 -5.120
Sn -2.151 -3.905 -0.196
Ho -0.988 -8.114 -3.700
Ho -1.776 0.878 -3.606
Li -3.181 -3.760 -5.124
Li 0.416 -3.476 -2.182
```

=====

2.
# Li4HoSn

Crystalline Li4HoSn at its relaxed geometry (PBE, Alexandria via LeMat-Bulk). Values from VASP.

Results
* total moment: 0.00 μB/f.u.
* formation enthalpy at 0 K: -149 meV per atom
* DFT total energy: -2.85 eV/atom
* SG: F-43m, No. 216

Geometry as Quantum ESPRESSO input:
```
&SYSTEM
  ibrav = 0, nat = 6, ntyp = 3
/
ATOMIC_SPECIES
Li 6.94 Li.upf
Sn 118.71 Sn.upf
Ho 164.93 Ho.upf
CELL_PARAMETERS angstrom
-2.656 0.121 -4.816
-3.414 -4.093 -1.362
-5.430 0.874 -0.126
ATOMIC_POSITIONS angstrom
Li -4.468 -2.376 -3.880
Li -7.192 -1.937 -3.943
Li -5.860 -1.998 -1.526
Li -5.480 0.116 -3.259
Sn 0.000 0.000 0.000
Ho -2.875 -0.774 -1.576
```

=====

3.
# LiHoSn

Crystalline LiHoSn at its relaxed geometry (PBE, Alexandria via LeMat-Bulk). Values from VASP.

Results
* total moment: 0.00 μB/f.u.
* formation enthalpy at 0 K: -426 meV per atom
* DFT total energy: -3.92 eV/atom
* SG: F-43m, No. 216

Geometry as Quantum ESPRESSO input:
```
&SYSTEM
  ibrav = 0, nat = 3, ntyp = 3
/
ATOMIC_SPECIES
Li 6.94 Li.upf
Sn 118.71 Sn.upf
Ho 164.93 Ho.upf
CELL_PARAMETERS angstrom
4.930 0.000 0.000
2.465 4.269 0.000
2.465 1.423 4.025
ATOMIC_POSITIONS angstrom
Li 0.000 0.000 0.000
Sn 2.465 1.423 1.006
Ho 4.930 2.846 2.013
```

=====

4.
# Li3HoSn6

Crystalline Li3HoSn6 at its relaxed geometry (PBE, Alexandria via LeMat-Bulk). Values from VASP.

Results
* total moment: 0.00 μB/f.u.
* formation enthalpy at 0 K: -327 meV per atom
* DFT total energy: -3.76 eV/atom
* SG: P2_1/m, No. 11

Geometry as Quantum ESPRESSO input:
```
&SYSTEM
  ibrav = 0, nat = 20, ntyp = 3
/
ATOMIC_SPECIES
Sn 118.71 Sn.upf
Li 6.94 Li.upf
Ho 164.93 Ho.upf
CELL_PARAMETERS angstrom
-1.390 -1.744 3.888
-7.374 -4.995 -4.877
6.360 -7.965 -1.297
ATOMIC_POSITIONS angstrom
Sn -7.353 -6.808 -1.807
Sn -3.371 -8.888 -1.316
Sn -1.854 -5.656 0.676
Sn -0.516 -2.774 -0.137
Sn 2.253 -7.709 1.224
Sn -0.550 -9.047 -2.962
Sn -1.888 -11.930 -2.150
Sn 0.967 -5.815 -0.970
Sn 4.948 -7.895 -0.479
Sn 0.807 -11.099 -0.813
Sn -3.211 -3.605 -1.473
Sn -4.657 -6.994 -3.510
Li -5.862 -4.187 -2.682
Li -0.452 -8.301 -0.009
Li 3.458 -10.517 0.396
Li -1.952 -6.402 -2.277
Li -4.556 -6.175 -0.523
Li 2.152 -8.528 -1.763
Ho -3.263 -10.023 -4.370
Ho 0.858 -4.680 2.084
```

=====

5.
# Li3HoSn3

Crystalline Li3HoSn3 at its relaxed geometry (PBE, Alexandria via LeMat-Bulk). Values from VASP.

Results
* total moment: 0.00 μB/f.u.
* formation enthalpy at 0 K: 232 meV per atom
* DFT total energy: -2.96 eV/atom
* SG: Pm-3n, No. 223

Geometry as Quantum ESPRESSO input:
```
&SYSTEM
  ibrav = 0, nat = 14, ntyp = 3
/
ATOMIC_SPECIES
Sn 118.71 Sn.upf
Li 6.94 Li.upf
Ho 164.93 Ho.upf
CELL_PARAMETERS angstrom
7.092 0.000 0.000
0.000 7.092 0.000
0.000 0.000 7.092
ATOMIC_POSITIONS angstrom
Sn 1.773 3.546 0.000
Sn 3.546 0.000 1.773
Sn 0.000 5.319 3.546
Sn 0.000 1.773 3.546
Sn 3.546 0.000 5.319
Sn 5.319 3.546 0.000
Li 1.773 0.000 3.546
Li 0.000 3.546 1.773
Li 5.319 0.000 3.546
Li 3.546 1.773 0.000
Li 0.000 3.546 5.319
Li 3.546 5.319 0.000
Ho 0.000 0.000 0.000
Ho 3.546 3.546 3.546
```

=====

6.
# Li2HoSn3

Crystalline Li2HoSn3 at its relaxed geometry (PBE, Alexandria via LeMat-Bulk). Values from VASP.

Results
* total moment: 0.00 μB/f.u.
* formation enthalpy at 0 K: -463 meV per atom
* DFT total energy: -3.87 eV/atom
* SG: Cmmm, No. 65

Geometry as Quantum ESPRESSO input:
```
&SYSTEM
  ibrav = 0, nat = 6, ntyp = 3
/
ATOMIC_SPECIES
Sn 118.71 Sn.upf
Ho 164.93 Ho.upf
Li 6.94 Li.upf
CELL_PARAMETERS angstrom
-2.173 2.606 -2.844
-3.056 -3.264 -0.655
-2.205 4.100 5.442
ATOMIC_POSITIONS angstrom
Sn -2.615 -0.329 -1.749
Sn -2.356 2.142 0.317
Sn -5.078 1.300 1.626
Ho 0.000 0.000 0.000
Li -2.888 -0.733 1.536
Li -2.373 1.569 3.251
```